Record 1
Here is crystalline Th3Si2Ru5 at its relaxed geometry from Alexandria. Energies are from PBE.

## Properties
Uncorrected energy: -8.603 eV per atom
Spin magnetization: 0.00 Bohr magnetons per cell
Formation energy without anion corrections: -6.54 eV per formula unit

abc: 10.261 10.261 3.555
angles: 90.00 90.00 90.00
Element x y z (fractional)
Th1 0.000 0.000 0.000
Th2 0.173 0.327 0.000
Th3 0.327 0.827 0.000
Th4 0.500 0.500 0.000
Th5 0.673 0.173 0.000
Th6 0.827 0.673 0.000
Si1 0.122 0.622 0.000
Si2 0.378 0.122 0.000
Si3 0.622 0.878 0.000
Si4 0.878 0.378 0.000
Ru1 0.000 0.500 0.500
Ru2 0.072 0.779 0.500
Ru3 0.221 0.072 0.500
Ru4 0.279 0.572 0.500
Ru5 0.428 0.279 0.500
Ru6 0.500 0.000 0.500
Ru7 0.572 0.721 0.500
Ru8 0.721 0.428 0.500
Ru9 0.779 0.928 0.500
Ru10 0.928 0.221 0.500

***

Record 2
Here is crystalline Th4SiRu at its relaxed geometry from Alexandria. Energies are from PBE.

## Properties
Uncorrected energy: -7.810 eV per atom
Spin magnetization: 0.00 Bohr magnetons per cell
Formation energy without anion corrections: -2.48 eV per formula unit

abc: 7.233 7.233 6.008
angles: 90.00 90.00 90.00
Element x y z (fractional)
Th1 0.158 0.328 0.000
Th2 0.158 0.672 0.500
Th3 0.328 0.158 0.500
Th4 0.328 0.842 0.000
Th5 0.672 0.158 0.000
Th6 0.672 0.842 0.500
Th7 0.842 0.328 0.500
Th8 0.842 0.672 0.000
Si1 0.500 0.500 0.250
Si2 0.500 0.500 0.750
Ru1 0.000 0.000 0.250
Ru2 0.000 0.000 0.750

***

Record 3
Here is crystalline Th3Si4Ru2 at its relaxed geometry from Alexandria. Energies are from PBE.

## Properties
Uncorrected energy: -7.740 eV per atom
Spin magnetization: 0.00 Bohr magnetons per cell
Formation energy without anion corrections: -7.15 eV per formula unit

abc: 5.961 5.961 8.196
angles: 101.93 101.93 40.88
Element x y z (fractional)
Th1 0.000 0.000 0.000
Th2 0.330 0.330 0.344
Th3 0.670 0.670 0.656
Si1 0.050 0.050 0.385
Si2 0.271 0.271 0.932
Si3 0.729 0.729 0.068
Si4 0.950 0.950 0.615
Ru1 0.403 0.403 0.735
Ru2 0.597 0.597 0.265

***

Record 4
Here is crystalline Th2Si7Ru12 at its relaxed geometry from Alexandria. Energies are from PBE.

## Properties
Uncorrected energy: -8.443 eV per atom
Spin magnetization: 0.00 Bohr magnetons per cell
Formation energy without anion corrections: -13.19 eV per formula unit

abc: 9.652 9.652 3.978
angles: 90.00 90.00 120.00
Element x y z (fractional)
Th1 0.000 0.000 0.000
Th2 0.333 0.667 0.500
Si1 0.058 0.432 0.000
Si2 0.266 0.228 0.500
Si3 0.374 0.942 0.000
Si4 0.568 0.626 0.000
Si5 0.667 0.333 0.500
Si6 0.772 0.038 0.500
Si7 0.962 0.734 0.500
Ru1 0.036 0.268 0.500
Ru2 0.103 0.715 0.000
Ru3 0.233 0.964 0.500
Ru4 0.285 0.388 0.000
Ru5 0.458 0.225 0.000
Ru6 0.518 0.461 0.500
Ru7 0.539 0.058 0.500
Ru8 0.612 0.897 0.000
Ru9 0.732 0.767 0.500
Ru10 0.768 0.542 0.000
Ru11 0.775 0.232 0.000
Ru12 0.942 0.482 0.500

***

Record 5
Here is crystalline TiSi3Ru at its relaxed geometry from Alexandria. Energies are from PBE.

## Properties
Uncorrected energy: -5.542 eV per atom
Spin magnetization: 2.31 Bohr magnetons per cell
Formation energy without anion corrections: 5.73 eV per formula unit

abc: 4.626 4.626 4.626
angles: 90.00 90.00 90.00
Element x y z (fractional)
Ti1 0.000 0.000 0.000
Si1 0.000 0.000 0.500
Si2 0.000 0.500 0.000
Si3 0.500 0.000 0.000
Ru1 0.500 0.500 0.500

***

Record 6
Here is crystalline TiSiRu at its relaxed geometry from Alexandria. Energies are from PBE.

## Properties
Uncorrected energy: -8.411 eV per atom
Spin magnetization: 0.00 Bohr magnetons per cell
Formation energy without anion corrections: -2.64 eV per formula unit

abc: 7.378 7.378 7.378
angles: 122.62 81.26 127.81
Element x y z (fractional)
Ti1 0.004 0.250 0.254
Ti2 0.424 0.397 0.527
Ti3 0.426 0.871 0.054
Ti4 0.817 0.371 0.946
Ti5 0.870 0.897 0.473
Ti6 0.996 0.750 0.746
Si1 0.089 0.429 0.674
Si2 0.089 0.915 0.161
Si3 0.378 0.160 0.719
Si4 0.441 0.660 0.281
Si5 0.754 0.415 0.326
Si6 0.754 0.929 0.839
Ru1 0.167 0.328 0.909
Ru2 0.167 0.758 0.338
Ru3 0.420 0.258 0.091
Ru4 0.420 0.828 0.662
Ru5 0.671 0.171 0.500
Ru6 0.671 0.671 0.000